# 1
A plane-wave DFT calculation with PBE was carried out for an optimized crystal structure of Tb2CeTe.

As for the relative energy among the computed polymorphs: 6.4 kJ per mole of atoms. The uncorrected formation energy is -0.460 eV per atom. The total magnetization is 0.717 μB/f.u.

The structure in POSCAR format:
```
Tb2CeTe
1.0
4.6345 0.0000 0.0000
0.0000 4.8538 0.0000
0.0000 0.0000 4.8538
Te Tb Ce
1 2 1
direct
0.5000 0.0000 0.0000
0.0000 0.5000 0.0000
0.0000 0.0000 0.5000
0.5000 0.5000 0.5000
```


# 2
A plane-wave DFT calculation with PBE was carried out for an optimized crystal structure of AgRuSe2.

As for the relative energy among the computed polymorphs: 27.7 kJ per mole of atoms. The uncorrected formation energy is 0.199 eV per atom. The total magnetization is 0.000 μB/f.u.

The structure in POSCAR format:
```
AgRuSe2
1.0
-2.0917 0.0653 -2.5128
0.0062 -2.9304 -0.0814
-6.1555 -0.1727 5.1196
Se Ag Ru
2 1 1
direct
0.0000 0.7482 0.9795
0.0000 0.7518 0.5205
0.5000 0.2500 0.2500
0.5000 0.7500 0.7500
```


# 3
A plane-wave DFT calculation with PBE was carried out for an optimized crystal structure of Lu2MgBi.

As for the relative energy among the computed polymorphs: 0.0 kJ per mole of atoms. As for the energy of formation from the pure elements: -308 meV/atom. The total magnetization is 0.115 μB/f.u.

The structure in POSCAR format:
```
Lu2MgBi
1.0
3.9767 0.0000 0.0000
0.0000 3.9767 0.0000
0.0000 0.0000 6.7324
Lu Mg Bi
2 1 1
direct
0.0000 0.0000 0.2507
0.0000 0.0000 0.7493
0.5000 0.5000 0.0000
0.5000 0.5000 0.5000
```


# 4
A plane-wave DFT calculation with PBE was carried out for an optimized crystal structure of LiCr2Ru.

As for the energy of formation from the pure elements: 758 meV/atom. The total magnetization is 0.000 μB/f.u.

The structure in POSCAR format:
```
LiCr2Ru
1.0
-0.8775 -6.4224 -1.6801
0.4533 -1.7488 6.4479
-2.6149 -3.8203 2.6248
Cr Ru Li
4 2 2
direct
0.6518 0.1250 0.2500
0.3750 0.3482 0.7500
0.8750 0.9018 0.7500
0.0982 0.6250 0.2500
0.0000 0.0000 0.0000
0.7500 0.2500 0.5000
0.5000 0.5000 0.0000
0.2500 0.7500 0.5000
```


# 5
A plane-wave DFT calculation with PBE was carried out for an optimized crystal structure of As4Se.

As for the relative energy among the computed polymorphs: 0.0 kJ per mole of atoms. The uncorrected formation energy is 0.599 eV per atom. The total magnetization is 0.000 μB/f.u.

The structure in POSCAR format:
```
As4Se
1.0
-1.5581 -3.7631 3.4608
1.6511 4.3161 2.6851
-4.1042 1.3273 -3.1559
As Se
4 1
direct
0.0000 0.5000 0.0000
0.0000 0.0000 0.5000
0.5000 0.5000 0.5000
0.5000 0.0000 0.0000
0.0000 0.0000 0.0000
```


# 6
A plane-wave DFT calculation with PBE was carried out for an optimized crystal structure of HoTaO4.

The uncorrected formation energy is -3.025 eV per atom. The total magnetization is 0.000 μB/f.u.

The structure in POSCAR format:
```
HoTaO4
1.0
-2.1531 -2.4873 1.4375
2.6960 -2.3699 -0.0624
1.4531 1.5263 4.8174
O Ta Ho
4 1 1
direct
0.0000 0.5000 0.7734
0.5000 0.0000 0.7734
0.0000 0.5000 0.2266
0.5000 0.0000 0.2266
0.5000 0.5000 0.0000
0.0000 0.0000 0.5000
```


# 7
A plane-wave DFT calculation with PBE was carried out for an optimized crystal structure of HfSc2Cd2.

As for the relative energy among the computed polymorphs: 0.0 kJ per mole of atoms. As for the energy of formation from the pure elements: -116 meV/atom. The total magnetization is 0.000 μB/f.u.

The structure in POSCAR format:
```
HfSc2Cd2
1.0
3.2183 0.0000 0.0000
0.0000 4.5417 0.8605
0.0000 0.8515 7.9213
Sc Hf Cd
2 1 2
direct
0.5000 0.6034 0.7932
0.5000 0.3966 0.2068
0.0000 0.0000 0.0000
0.0000 0.8049 0.3902
0.0000 0.1951 0.6098
```


# 8
A plane-wave DFT calculation with PBE was carried out for an optimized crystal structure of SrHg2F2.

The uncorrected formation energy is -2.074 eV per atom. The total magnetization is 0.000 μB/f.u.

The structure in POSCAR format:
```
SrHg2F2
1.0
6.6393 0.0000 0.0000
0.0000 6.6393 0.0000
0.0000 0.0000 6.4732
Hg F Sr
4 4 2
direct
0.1734 0.6734 0.5000
0.8266 0.3266 0.5000
0.3266 0.1734 0.5000
0.6734 0.8266 0.5000
0.7550 0.7450 0.0000
0.2550 0.7550 0.0000
0.7450 0.2450 0.0000
0.2450 0.2550 0.0000
0.5000 0.5000 0.0000
0.0000 0.0000 0.0000
```


# 9
A plane-wave DFT calculation with PBE was carried out for an optimized crystal structure of Pm4SmTm2Sc.

As for the energy of formation from the pure elements: 27 meV/atom. The total magnetization is 0.000 μB/f.u.

The structure in POSCAR format:
```
Pm4SmTm2Sc
1.0
-2.5714 4.2383 -1.0076
-4.8856 -5.0286 -8.6843
-4.3434 -2.4204 0.9030
Sm Tm Pm Sc
1 2 4 1
direct
0.5000 0.5000 0.0000
0.5000 0.0000 0.5000
0.0000 0.0000 0.0000
0.5000 0.2514 0.7491
0.0000 0.2517 0.2486
0.0000 0.7483 0.7514
0.5000 0.7486 0.2509
0.0000 0.5000 0.5000
```


# 10
A plane-wave DFT calculation with PBE was carried out for an optimized crystal structure of Tc2TeSe.

As for the relative energy among the computed polymorphs: 40.4 kJ per mole of atoms. The uncorrected formation energy is 0.407 eV per atom. The total magnetization is 0.000 μB/f.u.

The structure in POSCAR format:
```
Tc2TeSe
1.0
5.6497 -0.0006 -0.0029
2.9758 4.8024 0.0029
-3.8748 -3.1876 2.5969
Tc Se Te
2 1 1
direct
0.0287 0.0287 0.0000
0.7374 0.2374 0.5000
0.2290 0.7290 0.5000
0.5050 0.5050 0.0000
```


# 11
A plane-wave DFT calculation with PBE was carried out for an optimized crystal structure of LaY5Th2.

As for the energy of formation from the pure elements: 86 meV/atom. The total magnetization is 0.000 μB/f.u.

The structure in POSCAR format:
```
LaY5Th2
1.0
-0.2531 -0.7578 -3.4765
1.1958 -11.0119 2.3133
-7.0827 5.2950 1.1915
La Th Y
1 2 5
direct
0.0000 0.0000 0.0000
0.7371 0.2371 0.4742
0.2629 0.7629 0.5258
0.6327 0.4052 0.2653
0.0000 0.5000 0.0000
0.3673 0.5948 0.7347
0.6327 0.8602 0.2653
0.3673 0.1398 0.7347
```


# 12
A plane-wave DFT calculation with PBE was carried out for an optimized crystal structure of AgPSe2.

The uncorrected formation energy is 0.580 eV per atom. The total magnetization is 0.000 μB/f.u.

The structure in POSCAR format:
```
AgPSe2
1.0
3.1617 0.0000 0.0000
0.0000 4.6802 0.0000
0.0000 0.0000 5.1284
Se Ag P
2 1 1
direct
0.0000 0.0000 0.0000
0.5000 0.5000 0.0000
0.5000 0.0000 0.5000
0.0000 0.5000 0.5000
```


# 13
A plane-wave DFT calculation with PBE was carried out for an optimized crystal structure of NdGdIn.

As for the relative energy among the computed polymorphs: 0.0 kJ per mole of atoms. As for the energy of formation from the pure elements: -311 meV/atom. The total magnetization is 8.138 μB/f.u.

The structure in POSCAR format:
```
NdGdIn
1.0
-0.0534 3.7548 0.5291
-0.6387 -0.5305 3.7003
6.6402 -1.6744 -1.0373
Nd Gd In
1 1 1
direct
0.6063 0.6063 0.2126
0.2969 0.2969 0.5939
0.9468 0.9468 0.8936
```


# 14
A plane-wave DFT calculation with PBE was carried out for an optimized crystal structure of ScSi3Ag.

As for the relative energy among the computed polymorphs: 14.6 kJ per mole of atoms. The uncorrected formation energy is 0.990 eV per atom. The total magnetization is 0.000 μB/f.u.

The structure in POSCAR format:
```
ScSi3Ag
1.0
-1.4651 -3.1555 3.5958
3.8895 1.4038 2.8167
-2.7853 3.6201 2.0420
Si Ag Sc
3 1 1
direct
0.5000 0.0000 0.0000
0.0000 0.0000 0.5000
0.0000 0.5000 0.0000
0.5000 0.5000 0.5000
0.0000 0.0000 0.0000
```